Record 1
The following is a PBE-GGA calculation of a relaxed LiPt2Br crystal, from the Alexandria database.

## Properties
Crystal system   trigonal
DFT total energy   -46.68 eV per cell
DOS(E_F)   1.231 states/eV/atom
Density   10.1 g/cm3

Lattice parameters (Å, degrees): 2.7515 2.7515 36.0562 90.00 90.00 120.00
Closest atoms and distances in Å follow each position.
Space group R-3m (No. 166, hexagonal axes)
Unique sites:
Li 0.0000 0.0000 0.0000 x3  6 Pt 2.65, 6 Li 2.75
Pt 0.0000 0.0000 0.2745 x6  3 Li 2.65, 6 Pt 2.75
Br 0.0000 0.0000 0.5000 x3  6 Br 2.75

Record 2
The following is a PBE-GGA calculation of a relaxed ReMoSe2 crystal, from the Alexandria database.

## Properties
Crystal system   orthorhombic
DFT total energy   -27.08 eV per cell
DOS(E_F)   1.050 states/eV/atom
Density   10.6 g/cm3

Lattice parameters (Å, degrees): 3.0416 4.0714 5.5639 90.00 90.00 90.00
Closest atoms and distances in Å follow each position.
Space group Pmmm (No. 47)
Unique sites:
Re 0.0000 0.0000 0.0000 x1  4 Se 2.54
Mo 0.5000 0.0000 0.5000 x1  4 Se 2.54
Se 0.0000 0.5000 0.5000 x1  4 Mo 2.54
Se 0.5000 0.5000 0.0000 x1  4 Re 2.54

Record 3
The following is a PBE-GGA calculation of a relaxed HfNiI2N crystal, from the Alexandria database.

## Properties
Crystal system   tetragonal
DFT total energy   -23.90 eV per cell
DOS(E_F)   1.306 states/eV/atom
Density   7.8 g/cm3

Lattice parameters (Å, degrees): 5.5590 5.5590 3.4648 90.00 90.00 90.00
Closest atoms and distances in Å follow each position.
Space group P4/mmm (No. 123)
Unique sites:
Hf 0.0000 0.0000 0.0000 x1  8 I 3.28, 2 Hf 3.46
Ni 0.5000 0.5000 0.5000 x1  2 N 1.73
I 0.0000 0.5000 0.5000 x2  2 Ni 2.78
N 0.5000 0.5000 0.0000 x1  2 Ni 1.73

Record 4
The following is a PBE-GGA calculation of a relaxed CrAsPSe2 crystal, from the Alexandria database.

## Properties
Crystal system   tetragonal
DFT total energy   -21.07 eV per cell
DOS(E_F)   1.331 states/eV/atom
Density   5.0 g/cm3

Lattice parameters (Å, degrees): 4.7915 4.7915 4.5881 90.00 90.00 90.00
Closest atoms and distances in Å follow each position.
Space group P4/mmm (No. 123)
Unique sites:
Cr 0.0000 0.0000 0.0000 x1  8 Se 3.32, 4 As 3.39
As 0.5000 0.5000 0.0000 x1  2 P 2.29
P 0.5000 0.5000 0.5000 x1  2 As 2.29, 4 Se 2.40
Se 0.0000 0.5000 0.5000 x2  2 P 2.40

Record 5
The following is a PBE-GGA calculation of a relaxed PrTmPd4 crystal, from the Alexandria database.

## Properties
Crystal system   orthorhombic
DFT total energy   -140.68 eV per cell
DOS(E_F)   0.217 states/eV/atom
E_form   -0.858 eV per atom
Density   10.1 g/cm3

Lattice parameters (Å, degrees): 4.2212 19.8187 5.7640 90.00 90.00 90.00
Closest atoms and distances in Å follow each position.
Space group Cmcm (No. 63)
Unique sites:
Pr 0.0000 0.2218 0.2500 x4  7 Pd 2.98-3.05
Tm 0.0000 0.0745 0.7500 x4  11 Pd 2.88-2.95
Pd 0.0000 0.0707 0.2500 x4  3 Tm 2.88, 8 Pd 2.91-2.92, 1 Pr 3.00
Pd 0.0000 0.3567 0.5049 x8  5 Pd 2.83-2.94, 2 Tm 2.91, 3 Pr 2.98-3.05
Pd 0.0000 0.5000 0.0000 x4  8 Pd 2.84-2.91, 4 Tm 2.95

Record 6
The following is a PBE-GGA calculation of a relaxed Na3TaI crystal, from the Alexandria database.

## Properties
Crystal system   cubic
DFT total energy   -12.10 eV per cell
DOS(E_F)   0.967 states/eV/atom
Density   2.8 g/cm3

Lattice parameters (Å, degrees): 6.0620 6.0620 6.0620 90.00 90.00 90.00
Closest atoms and distances in Å follow each position.
Space group Pm-3m (No. 221)
Unique sites:
Na 0.0000 0.0000 0.5000 x3  2 Ta 3.03
Ta 0.0000 0.0000 0.0000 x1  6 Na 3.03
I 0.5000 0.5000 0.5000 x1  12 Na 4.29

Record 7
The following is a PBE-GGA calculation of a relaxed MgAsOs2 crystal, from the Alexandria database.

## Properties
Crystal system   monoclinic
DFT total energy   -27.53 eV per cell
DOS(E_F)   0.433 states/eV/atom
E_form   0.293 eV per atom
Density   12.9 g/cm3

Lattice parameters (Å, degrees): 2.9230 3.9781 5.5101 90.00 104.72 90.00
Closest atoms and distances in Å follow each position.
Space group P2/m (No. 10)
Unique sites:
Mg 0.0000 0.0000 0.0000 x1  2 As 2.76, 8 Os 2.84-2.88, 2 Mg 2.92
As 0.0000 0.0000 0.5000 x1  4 Os 2.45
Os 0.3576 0.5000 0.7307 x2  2 As 2.45

Record 8
The following is a PBE-GGA calculation of a relaxed CaNd2Y5 crystal, from the Alexandria database.

## Properties
Crystal system   monoclinic
DFT total energy   -170.31 eV per cell
DOS(E_F)   1.636 states/eV/atom
E_form   0.160 eV per atom
Density   4.7 g/cm3

Lattice parameters (Å, degrees): 16.2936 9.9923 6.8006 90.00 102.44 90.00
Closest atoms and distances in Å follow each position.
Space group C2/c (No. 15)
Unique sites:
Ca 0.2500 0.2500 0.0000 x4  2 Nd 3.07
Nd 0.0830 0.2469 0.1391 x8  1 Ca 3.07, 3 Y 3.29-3.43, 1 Nd 3.37
Y 0.0000 0.4354 0.7500 x4  4 Nd 3.29-3.59, 2 Y 3.64
Y 0.0978 0.0881 0.6481 x8  3 Nd 3.36-3.75, 1 Ca 3.45, 1 Y 3.74
Y 0.2012 0.4148 0.5415 x8  1 Nd 3.43, 2 Ca 3.46-3.47, 6 Y 3.75-3.81

Record 9
The following is a PBE-GGA calculation of a relaxed Ho2In2Cu15 crystal, from the Alexandria database.

## Properties
Crystal system   trigonal
DFT total energy   -234.36 eV per cell
DOS(E_F)   0.443 states/eV/atom
E_form   -0.108 eV per atom
Density   8.9 g/cm3

Lattice parameters (Å, degrees): 8.7359 8.7359 12.7940 90.00 90.00 120.00
Closest atoms and distances in Å follow each position.
Space group R-3m (No. 166, hexagonal axes)
Unique sites:
Ho 0.0000 0.0000 0.1437 x6  12 Cu 2.97-3.17, 1 In 3.16
In 0.0000 0.0000 0.3906 x6  6 Cu 2.63-2.74, 1 In 2.80
Cu 0.0000 0.3091 0.5000 x18  8 Cu 2.53-2.70
Cu 0.0000 0.5000 0.0000 x9  8 Cu 2.53-2.56, 2 In 2.63
Cu 0.0088 0.5044 0.6536 x18  8 Cu 2.48-2.68, 1 In 2.74

Record 10
The following is a PBE-GGA calculation of a relaxed LiTiTe2N crystal, from the Alexandria database.

## Properties
Crystal system   tetragonal
DFT total energy   -21.22 eV per cell
DOS(E_F)   0.866 states/eV/atom
Density   5.7 g/cm3

Lattice parameters (Å, degrees): 5.1441 5.1441 3.5457 90.00 90.00 90.00
Closest atoms and distances in Å follow each position.
Space group P4/mmm (No. 123)
Unique sites:
Li 0.0000 0.0000 0.0000 x1  2 N 1.77
Ti 0.5000 0.5000 0.5000 x1  8 Te 3.12
Te 0.0000 0.5000 0.0000 x2  2 Li 2.57
N 0.0000 0.0000 0.5000 x1  2 Li 1.77

Record 11
The following is a PBE-GGA calculation of a relaxed Pm2CuPb crystal, from the Alexandria database.

## Properties
Crystal system   tetragonal
DFT total energy   -18.58 eV per cell
DOS(E_F)   0.920 states/eV/atom
E_form   -0.319 eV per atom
Density   8.9 g/cm3

Lattice parameters (Å, degrees): 3.5709 3.5709 8.2390 90.00 90.00 90.00
Closest atoms and distances in Å follow each position.
Space group P4/mmm (No. 123)
Unique sites:
Pm 0.0000 0.0000 0.2182 x2  4 Cu 3.10, 4 Pb 3.43
Cu 0.5000 0.5000 0.0000 x1  8 Pm 3.10
Pb 0.5000 0.5000 0.5000 x1  8 Pm 3.43, 4 Pb 3.57

Record 12
The following is a PBE-GGA calculation of a relaxed BaAcNiRh crystal, from the Alexandria database.

## Properties
Crystal system   cubic
DFT total energy   -77.93 eV per cell
DOS(E_F)   1.044 states/eV/atom
E_form   -0.079 eV per atom
Density   8.4 g/cm3

Lattice parameters (Å, degrees): 7.4748 7.4748 7.4748 90.00 90.00 90.00
Closest atoms and distances in Å follow each position.
Space group F-43m (No. 216)
Unique sites:
Ba 0.0000 0.0000 0.0000 x4  4 Ni 3.24, 4 Rh 3.24
Ac 0.0000 0.0000 0.5000 x4  4 Ni 3.24, 4 Rh 3.24
Ni 0.2500 0.2500 0.7500 x4  4 Ba 3.24, 4 Ac 3.24
Rh 0.2500 0.2500 0.2500 x4  4 Ba 3.24, 4 Ac 3.24